The following is a PBE-GGA calculation of crystalline CoBSe2Br at its relaxed geometry, from the Alexandria database.

Unit cell a=4.440 b=4.440 c=4.698 alpha=90.00 beta=90.00 gamma=90.00
Fractional positions:
Co1 0.000 0.000 0.000
B1 0.500 0.500 0.500
Se1 0.000 0.500 0.500
Se2 0.500 0.000 0.500
Br1 0.500 0.500 0.000

Results
The value obtained for the distance to the lowest polymorph of the same formula is 0.0000 eV per atom.